VASP calculation (GGA+U) on Rb2CrF3 after structural relaxation.

Computed properties:
Total magnetic moment (μB/f.u.): 5.0
SG: Immm, No. 71
Density (g/cm³): 3.66
Density of states at the Fermi level (states/eV per cell): 0.55
E (eV/cell): -28.32

a b c (Å): 3.9415 4.1716 8.2401
angles (deg): 104.66 103.84 90.00
Sites, in units of the cell vectors:
F (0.0000, 0.5000, 0.0000)
F (0.8401, 0.8401, 0.6803)
F (0.1599, 0.1599, 0.3197)
Rb (0.3441, 0.3441, 0.6882)
Rb (0.6559, 0.6559, 0.3118)
Cr (0.0000, 0.0000, 0.0000)